Below is an optimized crystal structure of PmNdGe2, with properties calculated at the GGA-PBE level.

The calculation puts the formation energy at -0.857 eV/atom. The total energy comes out at -44.36 eV for the cell shown.

It has space group Amm2 (No. 38), with a = 4.068 Å, b = 4.460 Å, c = 11.064 Å, α = 90.00°, β = 90.00° and γ = 90.00°. The inequivalent atoms are Pm at (0.000, 0.000, 0.000), Nd at (0.500, 0.000, 0.276), Ge at (0.000, 0.000, 0.719) and Ge at (0.500, 0.000, 0.556).

***

Below is an optimized crystal structure of CdCuRu2, with properties calculated at the GGA-PBE level.

The calculation puts the formation energy at 0.379 eV/atom. The total energy comes out at -44.09 eV for the cell shown.

It has space group I-4m2 (No. 119), with a = 4.026 Å, b = 4.026 Å, c = 7.363 Å, α = 90.00°, β = 90.00° and γ = 90.00°. The inequivalent atoms are Cd at (0.000, 0.000, 0.000), Cu at (0.000, 0.500, 0.750), Ru at (0.000, 0.000, 0.500) and Ru at (0.000, 0.500, 0.250).

***

Below is an optimized crystal structure of La6Tl2Cd, with properties calculated at the GGA-PBE level.

The calculation puts the formation energy at -0.181 eV/atom. The total energy comes out at -73.69 eV for the cell shown. As for the excess energy over the best structure of this formula in the dataset: 0.066 eV per atom.

It has space group P2_1/c (No. 14), with a = 6.587 Å, b = 8.929 Å, c = 11.859 Å, α = 90.00°, β = 118.45° and γ = 90.00°. The inequivalent atoms are La at (0.073, 0.050, 0.215), La at (0.151, 0.703, 0.062), La at (0.424, 0.148, 0.048), Tl at (0.337, 0.120, 0.736) and Cd at (0.500, 0.000, 0.500).

***

Below is an optimized crystal structure of LaDyCdHg, with properties calculated at the GGA-PBE level.

The calculation puts the formation energy at -0.385 eV/atom. The total energy comes out at -49.14 eV for the cell shown.

It has space group F-43m (No. 216), with a = 7.669 Å, b = 7.669 Å, c = 7.669 Å, α = 90.00°, β = 90.00° and γ = 90.00°. The inequivalent atoms are La at (0.000, 0.000, 0.000), Dy at (0.000, 0.000, 0.500), Cd at (0.250, 0.250, 0.250) and Hg at (0.250, 0.250, 0.750).

***

Below is an optimized crystal structure of Ga2Fe5Pd12, with properties calculated at the GGA-PBE level.

The calculation puts the formation energy at -0.122 eV/atom. The total energy comes out at -225.99 eV for the cell shown.

It has space group C2/m (No. 12), with a = 10.124 Å, b = 8.528 Å, c = 6.720 Å, α = 90.00°, β = 103.09° and γ = 90.00°. The inequivalent atoms are Ga at (0.000, 0.236, 0.000), Fe at (0.000, 0.000, 0.500), Fe at (0.134, 0.500, 0.085), Fe at (0.249, 0.500, 0.477), Pd at (0.067, 0.500, 0.702), Pd at (0.105, 0.251, 0.382), Pd at (0.153, 0.000, 0.125) and Pd at (0.178, 0.198, 0.796).

***

Below is an optimized crystal structure of PmSm4Sb4, with properties calculated at the GGA-PBE level.

For the uncorrected formation energy, the calculation gives -621.6 meV/atom. The total energy comes out at -91.42 eV for the cell shown.

It has space group I-42m (No. 121), with a = 8.054 Å, b = 8.054 Å, c = 9.856 Å, α = 90.00°, β = 90.00° and γ = 90.00°. The inequivalent atoms are Pm at (0.000, 0.000, 0.000), Sm at (0.000, 0.000, 0.329), Sm at (0.000, 0.500, 0.000) and Sb at (0.237, 0.237, 0.147).

***

Below is an optimized crystal structure of HgPtPb, with properties calculated at the GGA-PBE level.

The calculation puts the formation energy at -0.119 eV/atom. The total energy comes out at -41.63 eV for the cell shown. As for the excess energy over the best structure of this formula in the dataset: 0.000 eV per atom.

It has space group F-43m (No. 216), with a = 6.667 Å, b = 6.667 Å, c = 6.667 Å, α = 90.00°, β = 90.00° and γ = 90.00°. The inequivalent atoms are Hg at (0.000, 0.000, 0.000), Pt at (0.250, 0.250, 0.750) and Pb at (0.000, 0.000, 0.500).

***

Below is an optimized crystal structure of NdAuI4, with properties calculated at the GGA-PBE level.

For the uncorrected formation energy, the calculation gives -887.2 meV/atom. The total energy comes out at -39.14 eV for the cell shown.

It has space group P2_1/c (No. 14), with a = 8.201 Å, b = 4.502 Å, c = 16.937 Å, α = 90.00°, β = 116.79° and γ = 90.00°. The inequivalent atoms are Nd at (0.000, 0.000, 0.000), Au at (0.500, 0.000, 0.500), I at (0.009, 0.005, 0.632) and I at (0.432, 0.618, 0.601).

***

Below is an optimized crystal structure of Zr2BeAs, with properties calculated at the GGA-PBE level.

The calculation puts the formation energy at -0.534 eV/atom. The total energy comes out at -55.21 eV for the cell shown. As for the excess energy over the best structure of this formula in the dataset: 0.259 eV per atom.

It has space group C2/m (No. 12), with a = 6.415 Å, b = 3.696 Å, c = 6.688 Å, α = 90.00°, β = 108.54° and γ = 90.00°. The inequivalent atoms are Zr at (0.247, 0.000, 0.242), Be at (0.000, 0.500, 0.000) and As at (0.000, 0.000, 0.500).

***

Below is an optimized crystal structure of Co2AsOs, with properties calculated at the GGA-PBE level.

The calculation puts the formation energy at 0.246 eV/atom. The total energy comes out at -58.21 eV for the cell shown.

It has space group Immm (No. 71), with a = 2.856 Å, b = 4.248 Å, c = 8.343 Å, α = 90.00°, β = 90.00° and γ = 90.00°. The inequivalent atoms are Co at (0.000, 0.000, 0.228), As at (0.000, 0.500, 0.500) and Os at (0.000, 0.500, 0.000).

***

Below is an optimized crystal structure of CeNdGa, with properties calculated at the GGA-PBE level.

The calculation puts the formation energy at -0.336 eV/atom. The total energy comes out at -58.95 eV for the cell shown. As for the excess energy over the best structure of this formula in the dataset: 0.055 eV per atom.

It has space group Cmcm (No. 63), with a = 3.428 Å, b = 16.907 Å, c = 5.242 Å, α = 90.00°, β = 90.00° and γ = 90.00°. The inequivalent atoms are Ce at (0.000, 0.240, 0.250), Nd at (0.000, 0.436, 0.750) and Ga at (0.000, 0.106, 0.750).

***

Below is an optimized crystal structure of Sr3CoH, with properties calculated at the GGA-PBE level.

The total energy comes out at -14.23 eV for the cell shown. As for the excess energy over the best structure of this formula in the dataset: 0.000 eV per atom.

It has space group Pm-3m (No. 221), with a = 5.214 Å, b = 5.214 Å, c = 5.214 Å, α = 90.00°, β = 90.00° and γ = 90.00°. The inequivalent atoms are Sr at (0.000, 0.000, 0.500), Co at (0.500, 0.500, 0.500) and H at (0.000, 0.000, 0.000).

***

Below is an optimized crystal structure of Te2IrW, with properties calculated at the GGA-PBE level.

For the uncorrected formation energy, the calculation gives 1000.0 meV/atom. The total energy comes out at -24.10 eV for the cell shown. As for the excess energy over the best structure of this formula in the dataset: 0.859 eV per atom.

It has space group P2/m (No. 10), with a = 2.998 Å, b = 4.760 Å, c = 5.519 Å, α = 90.00°, β = 90.95° and γ = 90.00°. The inequivalent atoms are Te at (0.239, 0.000, 0.245), Ir at (0.500, 0.500, 0.000) and W at (0.000, 0.500, 0.500).

***

Below is an optimized crystal structure of Y8ScTl2, with properties calculated at the GGA-PBE level.

The calculation puts the formation energy at -0.024 eV/atom. The total energy comes out at -126.09 eV for the cell shown.

It has space group C2/m (No. 12), with a = 8.905 Å, b = 15.070 Å, c = 5.568 Å, α = 90.00°, β = 113.43° and γ = 90.00°. The inequivalent atoms are Y at (0.000, 0.213, 0.000), Y at (0.109, 0.500, 0.800), Y at (0.208, 0.114, 0.614), Sc at (0.000, 0.000, 0.000) and Tl at (0.000, 0.306, 0.500).

***

Below is an optimized crystal structure of Nd6Tm12In, with properties calculated at the GGA-PBE level.

The calculation puts the formation energy at 0.071 eV/atom. The total energy comes out at -250.94 eV for the cell shown.

It has space group R-3 (No. 148, hexagonal axes), with a = 11.8580 Å, b = 11.8580 Å, c = 14.8309 Å, α = 90.00°, β = 90.00° and γ = 120.00°. The inequivalent atoms are Nd at (0.0113, 0.5900, 0.1807), Tm at (0.0055, 0.1747, 0.6873), Tm at (0.0448, 0.1917, 0.9160) and In at (0.0000, 0.0000, 0.5000).

***

Below is an optimized crystal structure of CaAs2PdSe, with properties calculated at the GGA-PBE level.

For the uncorrected formation energy, the calculation gives 817.3 meV/atom. The total energy comes out at -15.89 eV for the cell shown. As for the excess energy over the best structure of this formula in the dataset: 1.029 eV per atom.

It has space group P4/mmm (No. 123), with a = 5.329 Å, b = 5.329 Å, c = 5.243 Å, α = 90.00°, β = 90.00° and γ = 90.00°. The inequivalent atoms are Ca at (0.000, 0.000, 0.000), As at (0.000, 0.500, 0.000), Pd at (0.500, 0.500, 0.500) and Se at (0.000, 0.000, 0.500).

***

Below is an optimized crystal structure of Ho6Zn5Ir, with properties calculated at the GGA-PBE level.

The calculation puts the formation energy at -0.472 eV/atom. The total energy comes out at -96.71 eV for the cell shown.

It has space group Cmmm (No. 65), with a = 4.979 Å, b = 14.935 Å, c = 7.061 Å, α = 90.00°, β = 90.00° and γ = 90.00°. The inequivalent atoms are Ho at (0.000, 0.000, 0.240), Ho at (0.000, 0.339, 0.245), Zn at (0.000, 0.169, 0.500), Zn at (0.000, 0.175, 0.000), Zn at (0.000, 0.500, 0.500) and Ir at (0.000, 0.500, 0.000).

***

Below is an optimized crystal structure of Pm2EuTc, with properties calculated at the GGA-PBE level.

The calculation puts the formation energy at 0.329 eV/atom. The total energy comes out at -86.47 eV for the cell shown. As for the excess energy over the best structure of this formula in the dataset: 0.244 eV per atom.

It has space group R-3m (No. 166, hexagonal axes), with a = 3.5865 Å, b = 3.5865 Å, c = 33.1822 Å, α = 90.00°, β = 90.00° and γ = 120.00°. The inequivalent atoms are Pm at (0.0000, 0.0000, 0.1061), Eu at (0.0000, 0.0000, 0.0000) and Tc at (0.0000, 0.0000, 0.5000).

***

Below is an optimized crystal structure of MgTcOs, with properties calculated at the GGA-PBE level.

The calculation puts the formation energy at 0.327 eV/atom. The total energy comes out at -88.84 eV for the cell shown. As for the excess energy over the best structure of this formula in the dataset: 0.270 eV per atom.

It has space group Fmm2 (No. 42), with a = 2.938 Å, b = 4.621 Å, c = 13.747 Å, α = 90.00°, β = 90.00° and γ = 90.00°. The inequivalent atoms are Mg at (0.000, 0.000, 0.000), Tc at (0.000, 0.000, 0.675) and Os at (0.000, 0.000, 0.329).

***

Below is an optimized crystal structure of RbZrNb2Ir, with properties calculated at the GGA-PBE level.

The calculation puts the formation energy at 0.922 eV/atom. The total energy comes out at -33.91 eV for the cell shown.

It has space group P4/mmm (No. 123), with a = 5.053 Å, b = 5.053 Å, c = 5.230 Å, α = 90.00°, β = 90.00° and γ = 90.00°. The inequivalent atoms are Rb at (0.000, 0.000, 0.000), Zr at (0.500, 0.500, 0.000), Nb at (0.000, 0.500, 0.500) and Ir at (0.500, 0.500, 0.500).